Record 1
VASP calculation (PBEsol) on crystalline K2LiYBr6 at its relaxed geometry.

a b c (Å): 10.7828 10.7828 10.7828
angles (deg): 90.00 90.00 90.00
Last column: nearest neighbours and their distance in Å.
Space group Fm-3m (No. 225)
Unique sites:
1 K 0.2500 0.2500 0.2500 [8 per cell]  12 Br 3.81
2 Li 0.0000 0.0000 0.0000 [4 per cell]  6 Br 2.65
3 Y 0.0000 0.0000 0.5000 [4 per cell]  6 Br 2.74
4 Br 0.0000 0.0000 0.2457 [24 per cell]  1 Li 2.65, 1 Y 2.74

Output
E_form (uncorrected) = -1.740 eV per atom
Crystal system = cubic
Total DFT energy (no corrections) = -158.7 eV for the cell shown

Record 2
VASP calculation (PBEsol) on crystalline K2MgBr at its relaxed geometry.

a b c (Å): 7.3118 4.2604 10.6045
angles (deg): 90.00 103.57 90.00
Last column: nearest neighbours and their distance in Å.
Space group C2/m (No. 12)
Unique sites:
1 K 0.2341 0.0000 0.2021 [4 per cell]  3 Br 3.21-3.22
2 Mg 0.0000 0.0000 0.5000 [2 per cell]  6 K 3.93, 6 Mg 4.23-4.26
3 Br 0.0000 0.5000 0.0000 [2 per cell]  6 K 3.21-3.22

Output
E_form (uncorrected) = -0.643 eV per atom
Crystal system = monoclinic
Total DFT energy (no corrections) = -16.9 eV for the cell shown

Record 3
VASP calculation (PBEsol) on crystalline KMg2Br at its relaxed geometry.

a b c (Å): 3.7096 3.6375 9.1203
angles (deg): 90.00 101.71 90.00
Last column: nearest neighbours and their distance in Å.
Space group Pm (No. 6)
Unique sites:
1 K 0.0000 0.0000 0.0000 [1 per cell]  4 Br 3.23
2 Mg 0.2675 0.0000 0.5383 [1 per cell]  2 Br 2.85, 4 Mg 3.16
3 Mg 0.6665 0.5000 0.3359 [1 per cell]  4 Mg 3.16
4 Br 0.3923 0.5000 0.7842 [1 per cell]  2 Mg 2.85

Output
E_form (uncorrected) = -0.491 eV per atom
Crystal system = monoclinic
Total DFT energy (no corrections) = -8.4 eV for the cell shown

Record 4
VASP calculation (PBEsol) on crystalline KMg2Br at its relaxed geometry.

a b c (Å): 8.2256 8.2256 8.2256
angles (deg): 90.00 90.00 90.00
Last column: nearest neighbours and their distance in Å.
Space group Fm-3m (No. 225)
Unique sites:
1 K 0.0000 0.0000 0.0000 [4 per cell]  8 Mg 3.56
2 Mg 0.2500 0.2500 0.2500 [8 per cell]  4 K 3.56, 4 Br 3.56
3 Br 0.0000 0.0000 0.5000 [4 per cell]  8 Mg 3.56

Output
E_form (uncorrected) = -0.015 eV per atom
Crystal system = cubic
Total DFT energy (no corrections) = -26.0 eV for the cell shown

Record 5
VASP calculation (PBEsol) on crystalline K2MgBr at its relaxed geometry.

a b c (Å): 4.2302 5.9348 5.9440
angles (deg): 90.00 90.06 90.00
Last column: nearest neighbours and their distance in Å.
Space group Pm (No. 6)
Unique sites:
1 K 0.0000 0.0000 0.0000 [1 per cell]  4 Br 3.58-3.72, 4 Mg 3.64-3.65
2 K 0.0017 0.5000 0.5062 [1 per cell]  4 Br 3.64-3.65, 4 Mg 3.64-3.65
3 Mg 0.5015 0.5000 0.0071 [1 per cell]  8 K 3.64-3.65
4 Br 0.4999 0.0000 0.5138 [1 per cell]  8 K 3.58-3.72

Output
E_form (uncorrected) = -0.526 eV per atom
Crystal system = monoclinic
Total DFT energy (no corrections) = -8.0 eV for the cell shown

Record 6
VASP calculation (PBEsol) on crystalline KMg2Br at its relaxed geometry.

a b c (Å): 4.4130 4.4130 6.6881
angles (deg): 90.00 90.00 90.00
Last column: nearest neighbours and their distance in Å.
Space group P4/mmm (No. 123)
Unique sites:
1 K 0.0000 0.0000 0.0000 [1 per cell]  4 Br 3.12
2 Mg 0.0000 0.5000 0.5000 [2 per cell]  4 Mg 3.12
3 Br 0.5000 0.5000 0.0000 [1 per cell]  4 K 3.12

Output
E_form (uncorrected) = -0.409 eV per atom
Crystal system = tetragonal
Total DFT energy (no corrections) = -8.1 eV for the cell shown

Record 7
VASP calculation (PBEsol) on crystalline K2RbMgBr at its relaxed geometry.

a b c (Å): 7.5037 7.5037 6.0142
angles (deg): 90.00 90.00 90.00
Last column: nearest neighbours and their distance in Å.
Space group P4/mmm (No. 123)
Unique sites:
1 K 0.0000 0.5000 0.0000 [2 per cell]  2 Rb 3.75
2 Rb 0.0000 0.0000 0.0000 [1 per cell]  2 Br 3.01
3 Mg 0.5000 0.5000 0.5000 [1 per cell]  8 K 4.81, 4 Br 5.31
4 Br 0.0000 0.0000 0.5000 [1 per cell]  2 Rb 3.01

Output
E_form (uncorrected) = -0.089 eV per atom
Crystal system = tetragonal
Total DFT energy (no corrections) = -7.3 eV for the cell shown

Record 8
VASP calculation (PBEsol) on crystalline KMgSeBr2 at its relaxed geometry.

a b c (Å): 5.6497 5.6497 5.7027
angles (deg): 90.00 90.00 90.00
Last column: nearest neighbours and their distance in Å.
Space group P4/mmm (No. 123)
Unique sites:
1 K 0.0000 0.0000 0.0000 [1 per cell]  4 Br 2.82, 2 Se 2.85
2 Mg 0.5000 0.5000 0.5000 [1 per cell]  4 Se 3.99, 8 Br 4.01
3 Se 0.0000 0.0000 0.5000 [1 per cell]  2 K 2.85
4 Br 0.0000 0.5000 0.0000 [2 per cell]  2 K 2.82

Output
E_form (uncorrected) = -0.012 eV per atom
Crystal system = tetragonal
Total DFT energy (no corrections) = -10.5 eV for the cell shown

Record 9
VASP calculation (PBEsol) on crystalline KMnBr3 at its relaxed geometry.

a b c (Å): 9.1930 3.9968 15.0012
angles (deg): 90.00 90.00 90.00
Last column: nearest neighbours and their distance in Å.
Space group Pnma (No. 62)
Unique sites:
1 K 0.0645 0.2500 0.1747 [4 per cell]  8 Br 3.32-3.47
2 Mn 0.1636 0.7500 0.4444 [4 per cell]  6 Br 2.54-2.72
3 Br 0.0228 0.7500 0.6015 [4 per cell]  3 Mn 2.69-2.72
4 Br 0.1712 0.7500 0.0058 [4 per cell]  2 Mn 2.67
5 Br 0.2190 0.2500 0.7912 [4 per cell]  1 Mn 2.54

Output
E_form (uncorrected) = -1.106 eV per atom
Crystal system = orthorhombic
Total DFT energy (no corrections) = -88.1 eV for the cell shown

Record 10
VASP calculation (PBEsol) on crystalline KMnBr3 at its relaxed geometry.

a b c (Å): 5.2513 5.2513 5.2513
angles (deg): 90.00 90.00 90.00
Last column: nearest neighbours and their distance in Å.
Space group Pm-3m (No. 221)
Unique sites:
1 K 0.0000 0.0000 0.0000 [1 per cell]  12 Br 3.71
2 Mn 0.5000 0.5000 0.5000 [1 per cell]  6 Br 2.63
3 Br 0.0000 0.5000 0.5000 [3 per cell]  2 Mn 2.63

Output
E_form (uncorrected) = -1.055 eV per atom
Crystal system = cubic
Total DFT energy (no corrections) = -21.8 eV for the cell shown

Record 11
VASP calculation (PBEsol) on crystalline K4MnBr6 at its relaxed geometry.

a b c (Å): 12.4691 12.4691 15.4753
angles (deg): 90.00 90.00 120.00
Last column: nearest neighbours and their distance in Å.
Space group R-3c (No. 167, hexagonal axes)
Unique sites:
1 K 0.0000 0.0000 0.2500 [6 per cell]  6 Br 3.19
2 K 0.0000 0.3792 0.2500 [18 per cell]  8 Br 3.31-3.48
3 Mn 0.0000 0.0000 0.0000 [6 per cell]  6 Br 2.68
4 Br 0.0321 0.1895 0.4003 [36 per cell]  1 Mn 2.68

Output
E_form (uncorrected) = -1.451 eV per atom
Crystal system = trigonal
Total DFT energy (no corrections) = -248.9 eV for the cell shown

Record 12
VASP calculation (PBEsol) on crystalline KMn4Br at its relaxed geometry.

a b c (Å): 7.8312 7.8312 7.8312
angles (deg): 90.00 90.00 90.00
Last column: nearest neighbours and their distance in Å.
Space group F-43m (No. 216)
Unique sites:
1 K 0.0000 0.0000 0.0000 [4 per cell]  12 Mn 3.24, 4 Br 3.39
2 Mn 0.1263 0.1263 0.3737 [16 per cell]  6 Mn 2.74-2.80
3 Br 0.2500 0.2500 0.7500 [4 per cell]  12 Mn 3.25, 4 K 3.39

Output
E_form (uncorrected) = 1.002 eV per atom
Crystal system = cubic
Total DFT energy (no corrections) = -144.1 eV for the cell shown